(1)
Compound: Sm2Sc3Ga4
Source: the Alexandria database
Functional: PBE
Structure: optimized geometry

Values from the calculation:
- Calculated total energy: -179.108 eV per cell
- Theoretical density: 5.744 Mg/m³
- Polymorph energy (0 for the lowest one): 0.144 eV per atom

Unit cell a=6.4793 b=15.5304 c=8.2107 alpha=90.00 beta=90.00 gamma=90.00
With the nearest neighbours (Å) after each atom.
Space group Cmce (No. 64)
Inequivalent atoms, fractional coordinates:
1 Sm 0.0000 0.1093 0.0831 [8 per cell]  8 Ga 3.13-3.46, 2 Sc 3.45
2 Sc 0.0000 0.0000 0.5000 [4 per cell]  6 Ga 2.68-2.88
3 Sc 0.2500 0.2155 0.7500 [8 per cell]  5 Ga 2.75-2.94
4 Ga 0.0000 0.1841 0.4578 [8 per cell]  5 Sc 2.82-2.94
5 Ga 0.2500 0.0384 0.7500 [8 per cell]  3 Sc 2.68-2.75

(2)
Compound: SmScGa
Source: the Alexandria database
Functional: PBE
Structure: optimized geometry

Values from the calculation:
- Calculated total energy: -59.054 eV per cell
- Theoretical density: 5.386 Mg/m³
- Polymorph energy (0 for the lowest one): 0.212 eV per atom

Unit cell a=6.8883 b=6.8883 c=6.8883 alpha=90.00 beta=90.00 gamma=90.00
With the nearest neighbours (Å) after each atom.
Space group F-43m (No. 216)
Inequivalent atoms, fractional coordinates:
1 Sm 0.0000 0.0000 0.0000 [4 per cell]  4 Ga 2.98
2 Sc 0.0000 0.0000 0.5000 [4 per cell]  4 Ga 2.98
3 Ga 0.2500 0.2500 0.2500 [4 per cell]  4 Sc 2.98, 4 Sm 2.98

(3)
Compound: Sm2Sc3Ga4
Source: the Alexandria database
Functional: PBE
Structure: optimized geometry

Values from the calculation:
- Calculated total energy: -92.138 eV per cell
- Theoretical density: 5.798 Mg/m³
- Polymorph energy (0 for the lowest one): 0.000 eV per atom

Unit cell a=7.6389 b=7.6337 c=7.3805 alpha=90.00 beta=108.03 gamma=90.00
With the nearest neighbours (Å) after each atom.
Space group P2_1/c (No. 14)
Inequivalent atoms, fractional coordinates:
1 Sm 0.1929 0.1762 0.0726 [4 per cell]  6 Ga 3.03-3.21
2 Sc 0.2479 0.6746 0.2487 [4 per cell]  6 Ga 2.83-2.92
3 Sc 0.5000 0.0000 0.5000 [2 per cell]  6 Ga 2.91-3.06
4 Ga 0.0804 0.5353 0.8665 [4 per cell]  1 Ga 2.68, 3 Sc 2.83-2.91
5 Ga 0.4974 0.1215 0.8727 [4 per cell]  1 Ga 2.63, 4 Sc 2.84-2.92